[1]
Below is a relaxed structure of FeH4, with properties calculated at the PBE level.

Cell and atoms, written as POSCAR:
```
FeH4
1.0
-4.279 -0.801 0.997
1.199 -3.722 2.157
0.444 2.334 3.781
H Fe
16 4
Cartesian
-0.003 -1.563 4.673
-1.849 -1.412 2.399
-0.535 -0.444 1.408
-3.089 -0.669 1.241
-2.435 -2.561 3.434
0.556 -2.697 1.986
0.126 1.367 3.105
-0.621 -3.148 3.343
-2.298 0.192 4.355
-0.193 -1.372 3.041
-1.209 0.084 3.114
-2.927 -1.185 5.022
-0.160 0.339 4.618
-1.208 -1.093 5.705
-1.830 -2.675 4.969
-3.410 -0.670 3.065
0.801 -2.493 3.530
-1.169 1.384 4.005
-3.310 -1.944 2.141
-1.594 -1.323 4.193
```

## Properties
As for the final energy: -4.0864 eV/atom. The space group is P2_13 (198).



[2]
Below is a relaxed structure of Ba2AlAg, with properties calculated at the PBE level.

Cell and atoms, written as POSCAR:
```
Ba2AlAg
1.0
-2.906 -0.769 4.668
-1.098 4.306 3.328
-5.183 1.951 0.397
Ba Ag Al
2 1 1
Cartesian
-4.593 2.744 4.197
-2.297 1.372 2.098
-6.890 4.116 6.295
0.000 0.000 0.000
```

## Properties
As for the final energy: -2.6212 eV/atom. The space group is F-43m (216).



[3]
Below is a relaxed structure of TaZnOs, with properties calculated at the PBE level.

Cell and atoms, written as POSCAR:
```
TaZnOs
1.0
0.000 3.036 3.036
3.036 0.000 3.036
3.036 3.036 0.000
Zn Os Ta
1 1 1
Cartesian
4.554 4.554 4.554
1.518 1.518 1.518
0.000 0.000 0.000
```

## Properties
As for the final energy: -7.5634 eV/atom. The space group is F-43m (216).



[4]
Below is a relaxed structure of LaSbIr, with properties calculated at the PBE level.

Cell and atoms, written as POSCAR:
```
LaSbIr
1.0
8.623 0.000 0.000
-4.311 7.468 0.000
0.000 0.000 3.322
Ir La Sb
3 3 3
Cartesian
1.645 2.849 1.661
5.333 0.000 1.661
-2.667 4.619 1.661
2.627 0.000 0.000
2.998 5.193 0.000
-1.313 2.275 0.000
4.311 2.489 0.000
0.000 0.000 1.661
0.000 4.978 0.000
```

## Properties
As for the final energy: -6.0760 eV/atom. The space group is P-62m (189).



[5]
Below is a relaxed structure of ZrTlAgTe3, with properties calculated at the PBE level.

Cell and atoms, written as POSCAR:
```
ZrTlAgTe3
1.0
8.663 0.000 0.000
0.000 4.176 0.000
-3.667 0.000 10.124
Te Zr Tl Ag
6 2 2 2
Cartesian
4.664 3.132 4.473
-2.520 3.132 8.739
7.516 1.044 1.384
0.332 1.044 5.651
3.418 1.044 1.252
1.578 3.132 8.872
5.488 3.132 1.743
-0.492 1.044 8.381
3.702 1.044 7.188
1.294 3.132 2.936
-1.574 3.132 6.115
6.570 1.044 4.008
```

## Properties
As for the final energy: -4.4310 eV/atom. The space group is P2_1/m (11).



[6]
Below is a relaxed structure of MgZr2Al2FeIr2, with properties calculated at the PBE level.

Cell and atoms, written as POSCAR:
```
MgZr2Al2FeIr2
1.0
4.481 0.000 0.000
0.000 4.481 0.000
0.000 0.000 6.409
Zr Mg Al Fe Ir
2 1 2 1 2
Cartesian
0.000 2.241 4.883
2.241 0.000 1.526
2.241 2.241 3.204
2.241 0.000 4.884
0.000 2.241 1.525
0.000 0.000 0.000
2.241 2.241 0.000
0.000 0.000 3.204
```

## Properties
As for the final energy: -7.1225 eV/atom. The space group is P-4m2 (115).



[7]
Below is a relaxed structure of YCoSiTc, with properties calculated at the PBE level.

Cell and atoms, written as POSCAR:
```
YCoSiTc
1.0
0.000 3.208 3.208
3.208 0.000 3.208
3.208 3.208 0.000
Y Tc Si Co
1 1 1 1
Cartesian
1.604 1.604 1.604
3.208 3.208 3.208
0.000 0.000 0.000
4.812 4.812 4.812
```

## Properties
As for the final energy: -7.0529 eV/atom. The space group is F-43m (216).